Computed, not measured: a relaxed structure of Pm2DyMoO8 at the GGA+U level of DFT.

Summary:
The raw total energy is -183.96 eV for the cell shown. For the density of states at the Fermi level, the calculation gives 0.5752 states/eV/atom. The value obtained for the density is 6.09 Mg/m³. As for the total magnetization: 1.0 μB per formula unit.

abc: 7.259 7.367 6.902
angles: 90.00 90.00 90.00
Space group Cmmm (No. 65)
One atom of each set of equivalent atoms:
Pm  0.000  0.000  0.250 x4
Dy  0.000  0.500  0.000 x2
Mo  0.000  0.500  0.500 x2
O  0.000  0.322  0.289 x8
O  0.198  0.000  0.000 x4
O  0.233  0.000  0.500 x4